PBE-GGA MgZrInS3, relaxed; electronic total energy = -5.2586 eV/atom
1.0
1.8512 -7.0579 0.0000
1.8512 7.0579 0.0000
0.0000 0.0000 10.3805
Mg Zr In S
2 2 2 6
Direct
0.1089 0.8911 0.7500 Mg
0.8911 0.1089 0.2500 Mg
0.5000 0.5000 0.0000 Zr
0.5000 0.5000 0.5000 Zr
0.2078 0.7922 0.2500 In
0.7922 0.2078 0.7500 In
0.1286 0.8714 0.5099 S
0.1286 0.8714 0.9901 S
0.4869 0.5131 0.7500 S
0.5131 0.4869 0.2500 S
0.8714 0.1286 0.0099 S
0.8714 0.1286 0.4901 S